A plane-wave DFT calculation with PBE+U was carried out for an optimized crystal structure of FePCO2.

a = 3.466 Å, b = 3.466 Å, c = 5.759 Å
α = 90.00°, β = 90.00°, γ = 90.00°
Atoms (fractional coordinates):
1 Fe 0.000 0.000 0.000
2 P 0.000 0.000 0.500
3 C 0.500 0.500 0.500
4 O 0.000 0.500 0.000
5 O 0.500 0.000 0.000

Summary:
* symmetry: No. 123
* distance to the lowest polymorph of the same formula: 0.067 eV/atom
* energy: -5.0807 eV per atom